Entry 1:
# CeErTh2, relaxed, DFT PBE
# energy of formation from the pure elements = 0.260 eV/atom
data_CeErTh2
_chemical_formula_sum 'Ce3 Er3 Th6'
_cell_length_a 3.4239
_cell_length_b 3.4239
_cell_length_c 37.2259
_cell_angle_alpha 90.00
_cell_angle_beta 90.00
_cell_angle_gamma 120.00
_symmetry_space_group_name_H-M 'R -3 m'
_symmetry_Int_Tables_number 166
_symmetry_space_group_name_Hall '-R 3 2"'
loop_
_atom_site_label
_atom_site_fract_x
_atom_site_fract_y
_atom_site_fract_z
_atom_site_occupancy
Ce1 0.0000 0.0000 0.0000 1
Er1 0.0000 0.0000 0.5000 1
Th1 0.0000 0.0000 0.4131 1

Entry 2:
# InBSbTe2, relaxed, DFT PBE
# raw formation energy = 1.473 eV/atom
data_InBSbTe2
_chemical_formula_sum 'In1 B1 Sb1 Te2'
_cell_length_a 5.711
_cell_length_b 5.711
_cell_length_c 5.581
_cell_angle_alpha 90.00
_cell_angle_beta 90.00
_cell_angle_gamma 90.00
_symmetry_space_group_name_H-M 'P 4/m m m'
_symmetry_Int_Tables_number 123
_symmetry_space_group_name_Hall '-P 4 2'
loop_
_atom_site_label
_atom_site_fract_x
_atom_site_fract_y
_atom_site_fract_z
_atom_site_occupancy
In1 0.000 0.000 0.000 1
B1 0.500 0.500 0.500 1
Sb1 0.000 0.000 0.500 1
Te1 0.000 0.500 0.000 1

Entry 3:
# Sb2As2Cl, relaxed, DFT PBE
# raw formation energy = 0.022 eV/atom
data_Sb2As2Cl
_chemical_formula_sum 'Sb4 As4 Cl2'
_cell_length_a 8.137
_cell_length_b 8.137
_cell_length_c 3.606
_cell_angle_alpha 90.00
_cell_angle_beta 90.00
_cell_angle_gamma 90.00
_symmetry_space_group_name_H-M 'P 4/m b m'
_symmetry_Int_Tables_number 127
_symmetry_space_group_name_Hall '-P 4 2ab'
loop_
_atom_site_label
_atom_site_fract_x
_atom_site_fract_y
_atom_site_fract_z
_atom_site_occupancy
Sb1 0.153 0.347 0.000 1
As1 0.134 0.634 0.500 1
Cl1 0.000 0.000 0.000 1

Entry 4:
# Cd5InHg3, relaxed, DFT PBE
# energy of formation from the pure elements = 0.032 eV/atom
data_Cd5InHg3
_chemical_formula_sum 'Cd10 In2 Hg6'
_cell_length_a 9.1091
_cell_length_b 9.1091
_cell_length_c 6.1702
_cell_angle_alpha 90.00
_cell_angle_beta 90.00
_cell_angle_gamma 120.00
_symmetry_space_group_name_H-M 'P 63/m c m'
_symmetry_Int_Tables_number 193
_symmetry_space_group_name_Hall '-P 6c 2'
loop_
_atom_site_label
_atom_site_fract_x
_atom_site_fract_y
_atom_site_fract_z
_atom_site_occupancy
Cd1 0.0000 0.3351 0.2500 1
Cd2 0.3333 0.6667 0.0000 1
In1 0.0000 0.0000 0.0000 1
Hg1 0.0000 0.3357 0.7500 1

Entry 5:
# CsCo2PbCl8, relaxed, DFT PBE
# raw formation energy = -0.973 eV/atom
data_CsCo2PbCl8
_chemical_formula_sum 'Cs3 Co6 Pb3 Cl24'
_cell_length_a 6.6566
_cell_length_b 6.6566
_cell_length_c 29.5780
_cell_angle_alpha 90.00
_cell_angle_beta 90.00
_cell_angle_gamma 120.00
_symmetry_space_group_name_H-M 'R -3'
_symmetry_Int_Tables_number 148
_symmetry_space_group_name_Hall '-R 3'
loop_
_atom_site_label
_atom_site_fract_x
_atom_site_fract_y
_atom_site_fract_z
_atom_site_occupancy
Cs1 0.0000 0.0000 0.0000 1
Co1 0.0000 0.0000 0.2493 1
Pb1 0.0000 0.0000 0.5000 1
Cl1 0.0000 0.0000 0.3229 1
Cl2 0.0082 0.6490 0.4418 1

Entry 6:
# MgReRh, relaxed, DFT PBE
# energy of formation from the pure elements = -0.044 eV/atom
data_MgReRh
_chemical_formula_sum 'Mg2 Re2 Rh2'
_cell_length_a 2.820
_cell_length_b 4.241
_cell_length_c 7.728
_cell_angle_alpha 90.00
_cell_angle_beta 92.76
_cell_angle_gamma 90.00
_symmetry_space_group_name_H-M 'P 1 m 1'
_symmetry_Int_Tables_number 6
loop_
_symmetry_equiv_pos_as_xyz
'x,y,z'
'x,-y,z'
loop_
_atom_site_label
_atom_site_fract_x
_atom_site_fract_y
_atom_site_fract_z
_atom_site_occupancy
Mg1 0.000 0.000 0.000 1
Mg2 0.455 0.000 0.661 1
Re1 0.445 0.500 0.213 1
Re2 0.884 0.000 0.341 1
Rh1 0.491 0.500 0.876 1
Rh2 0.949 0.500 0.549 1

Entry 7:
# MgBe, relaxed, DFT PBE
# energy of formation from the pure elements = 0.428 eV/atom
data_MgBe
_chemical_formula_sum 'Mg16 Be16'
_cell_length_a 4.735
_cell_length_b 7.851
_cell_length_c 13.239
_cell_angle_alpha 90.00
_cell_angle_beta 90.00
_cell_angle_gamma 90.00
_symmetry_space_group_name_H-M 'F d d d'
_symmetry_Int_Tables_number 70
loop_
_symmetry_equiv_pos_as_xyz
'x,y,z'
'-x,-y,-z'
'-x+1/4,-y+1/4,z'
'x+1/4,y+1/4,-z'
'x,-y+1/4,-z+1/4'
'-x,y+1/4,z+1/4'
'-x+1/4,y,-z+1/4'
'x+1/4,-y,z+1/4'
'x,y+1/2,z+1/2'
'-x,-y+1/2,-z+1/2'
'-x+1/4,-y+3/4,z+1/2'
'x+1/4,y+3/4,-z+1/2'
'x,-y+3/4,-z+3/4'
'-x,y+3/4,z+3/4'
'-x+1/4,y+1/2,-z+3/4'
'x+1/4,-y+1/2,z+3/4'
'x+1/2,y,z+1/2'
'-x+1/2,-y,-z+1/2'
'-x+3/4,-y+1/4,z+1/2'
'x+3/4,y+1/4,-z+1/2'
'x+1/2,-y+1/4,-z+3/4'
'-x+1/2,y+1/4,z+3/4'
'-x+3/4,y,-z+3/4'
'x+3/4,-y,z+3/4'
'x+1/2,y+1/2,z'
'-x+1/2,-y+1/2,-z'
'-x+3/4,-y+3/4,z'
'x+3/4,y+3/4,-z'
'x+1/2,-y+3/4,-z+1/4'
'-x+1/2,y+3/4,z+1/4'
'-x+3/4,y+1/2,-z+1/4'
'x+3/4,-y+1/2,z+1/4'
loop_
_atom_site_label
_atom_site_fract_x
_atom_site_fract_y
_atom_site_fract_z
_atom_site_occupancy
Mg1 0.125 0.295 0.125 1
Be1 0.125 0.125 0.546 1

Entry 8:
# TeP2Os, relaxed, DFT PBE
# raw formation energy = 0.938 eV/atom
data_TeP2Os
_chemical_formula_sum 'Te1 P2 Os1'
_cell_length_a 4.475
_cell_length_b 3.166
_cell_length_c 4.823
_cell_angle_alpha 90.00
_cell_angle_beta 100.69
_cell_angle_gamma 90.00
_symmetry_space_group_name_H-M 'P 1 2/m 1'
_symmetry_Int_Tables_number 10
loop_
_symmetry_equiv_pos_as_xyz
'x,y,z'
'-x,-y,-z'
'-x,y,-z'
'x,-y,z'
loop_
_atom_site_label
_atom_site_fract_x
_atom_site_fract_y
_atom_site_fract_z
_atom_site_occupancy
Te1 0.000 0.000 0.000 1
P1 0.500 0.000 0.500 1
P2 0.500 0.500 0.000 1
Os1 0.000 0.500 0.500 1

Entry 9:
# Pu2TaAs2N2, relaxed, DFT PBE
# raw formation energy = -1.064 eV/atom
data_Pu2TaAs2N2
_chemical_formula_sum 'Pu4 Ta2 As4 N4'
_cell_length_a 11.455
_cell_length_b 3.762
_cell_length_c 6.733
_cell_angle_alpha 90.00
_cell_angle_beta 121.10
_cell_angle_gamma 90.00
_symmetry_space_group_name_H-M 'C 1 2/m 1'
_symmetry_Int_Tables_number 12
loop_
_symmetry_equiv_pos_as_xyz
'x,y,z'
'-x,-y,-z'
'-x,y,-z'
'x,-y,z'
'x+1/2,y+1/2,z'
'-x+1/2,-y+1/2,-z'
'-x+1/2,y+1/2,-z'
'x+1/2,-y+1/2,z'
loop_
_atom_site_label
_atom_site_fract_x
_atom_site_fract_y
_atom_site_fract_z
_atom_site_occupancy
Pu1 0.192 0.000 0.240 1
Ta1 0.000 0.000 0.500 1
As1 0.061 0.500 0.825 1
N1 0.198 0.000 0.582 1

Entry 10:
# LiAl2SnH, relaxed, DFT PBE
# E = -3.325 eV/atom
data_LiAl2SnH
_chemical_formula_sum 'Li1 Al2 Sn1 H1'
_cell_length_a 4.233
_cell_length_b 4.233
_cell_length_c 4.353
_cell_angle_alpha 90.00
_cell_angle_beta 90.00
_cell_angle_gamma 90.00
_symmetry_space_group_name_H-M 'P 4/m m m'
_symmetry_Int_Tables_number 123
_symmetry_space_group_name_Hall '-P 4 2'
loop_
_atom_site_label
_atom_site_fract_x
_atom_site_fract_y
_atom_site_fract_z
_atom_site_occupancy
Li1 0.000 0.000 0.000 1
Al1 0.000 0.500 0.500 1
Sn1 0.500 0.500 0.000 1
H1 0.000 0.000 0.500 1

Entry 11:
# GaBiS2N, relaxed, DFT PBE
# raw formation energy = 0.391 eV/atom
data_GaBiS2N
_chemical_formula_sum 'Ga1 Bi1 S2 N1'
_cell_length_a 4.954
_cell_length_b 4.954
_cell_length_c 3.761
_cell_angle_alpha 90.00
_cell_angle_beta 90.00
_cell_angle_gamma 90.00
_symmetry_space_group_name_H-M 'P 4/m m m'
_symmetry_Int_Tables_number 123
_symmetry_space_group_name_Hall '-P 4 2'
loop_
_atom_site_label
_atom_site_fract_x
_atom_site_fract_y
_atom_site_fract_z
_atom_site_occupancy
Ga1 0.000 0.000 0.000 1
Bi1 0.500 0.500 0.500 1
S1 0.000 0.500 0.000 1
N1 0.000 0.000 0.500 1

Entry 12:
# Rb2RuW, relaxed, DFT PBE
# energy of formation from the pure elements = 1.585 eV/atom
data_Rb2RuW
_chemical_formula_sum 'Rb8 Ru4 W4'
_cell_length_a 13.123
_cell_length_b 13.123
_cell_length_c 4.668
_cell_angle_alpha 90.00
_cell_angle_beta 90.00
_cell_angle_gamma 90.00
_symmetry_space_group_name_H-M 'I -4 2 d'
_symmetry_Int_Tables_number 122
_symmetry_space_group_name_Hall 'I -4 2bw'
loop_
_atom_site_label
_atom_site_fract_x
_atom_site_fract_y
_atom_site_fract_z
_atom_site_occupancy
Rb1 0.072 0.250 0.125 1
Ru1 0.000 0.000 0.000 1
W1 0.000 0.000 0.500 1

Entry 13:
# YCu2Sb, relaxed, DFT PBE
# raw formation energy = -0.137 eV/atom
data_YCu2Sb
_chemical_formula_sum 'Y2 Cu4 Sb2'
_cell_length_a 4.687
_cell_length_b 4.927
_cell_length_c 6.796
_cell_angle_alpha 90.00
_cell_angle_beta 90.00
_cell_angle_gamma 90.00
_symmetry_space_group_name_H-M 'C m m 2'
_symmetry_Int_Tables_number 35
loop_
_symmetry_equiv_pos_as_xyz
'x,y,z'
'-x,-y,z'
'-x,y,z'
'x,-y,z'
'x+1/2,y+1/2,z'
'-x+1/2,-y+1/2,z'
'-x+1/2,y+1/2,z'
'x+1/2,-y+1/2,z'
loop_
_atom_site_label
_atom_site_fract_x
_atom_site_fract_y
_atom_site_fract_z
_atom_site_occupancy
Y1 0.000 0.000 0.000 1
Cu1 0.000 0.000 0.567 1
Cu2 0.000 0.500 0.725 1
Sb1 0.000 0.500 0.325 1

Entry 14:
# Zr2Ni2Pb, relaxed, DFT PBE
# energy of formation from the pure elements = -0.110 eV/atom
data_Zr2Ni2Pb
_chemical_formula_sum 'Zr4 Ni4 Pb2'
_cell_length_a 4.429
_cell_length_b 4.429
_cell_length_c 10.149
_cell_angle_alpha 90.00
_cell_angle_beta 90.00
_cell_angle_gamma 90.00
_symmetry_space_group_name_H-M 'I 4/m m m'
_symmetry_Int_Tables_number 139
_symmetry_space_group_name_Hall '-I 4 2'
loop_
_atom_site_label
_atom_site_fract_x
_atom_site_fract_y
_atom_site_fract_z
_atom_site_occupancy
Zr1 0.000 0.500 0.250 1
Ni1 0.000 0.000 0.113 1
Pb1 0.000 0.000 0.500 1

Entry 15:
# TbTm2In3, relaxed, DFT PBE
# energy of formation from the pure elements = -0.444 eV/atom
data_TbTm2In3
_chemical_formula_sum 'Tb1 Tm2 In3'
_cell_length_a 3.534
_cell_length_b 3.534
_cell_length_c 12.471
_cell_angle_alpha 90.00
_cell_angle_beta 90.00
_cell_angle_gamma 90.00
_symmetry_space_group_name_H-M 'P 4/m m m'
_symmetry_Int_Tables_number 123
_symmetry_space_group_name_Hall '-P 4 2'
loop_
_atom_site_label
_atom_site_fract_x
_atom_site_fract_y
_atom_site_fract_z
_atom_site_occupancy
Tb1 0.000 0.000 0.000 1
Tm1 0.000 0.000 0.335 1
In1 0.500 0.500 0.170 1
In2 0.500 0.500 0.500 1

Entry 16:
# Dy8Co2Cu, relaxed, DFT PBE
# energy of formation from the pure elements = -0.029 eV/atom
data_Dy8Co2Cu
_chemical_formula_sum 'Dy16 Co4 Cu2'
_cell_length_a 8.189
_cell_length_b 12.206
_cell_length_c 5.968
_cell_angle_alpha 90.00
_cell_angle_beta 106.76
_cell_angle_gamma 90.00
_symmetry_space_group_name_H-M 'C 1 m 1'
_symmetry_Int_Tables_number 8
loop_
_symmetry_equiv_pos_as_xyz
'x,y,z'
'x,-y,z'
'x+1/2,y+1/2,z'
'x+1/2,-y+1/2,z'
loop_
_atom_site_label
_atom_site_fract_x
_atom_site_fract_y
_atom_site_fract_z
_atom_site_occupancy
Dy1 0.000 0.000 0.000 1
Dy2 0.075 0.365 0.804 1
Dy3 0.159 0.134 0.593 1
Dy4 0.232 0.500 0.388 1
Dy5 0.371 0.223 0.194 1
Co1 0.365 0.312 0.696 1
Cu1 0.368 0.000 0.025 1

Entry 17:
# TbSmEr2Sc4, relaxed, DFT PBE
# energy of formation from the pure elements = 0.052 eV/atom
data_TbSmEr2Sc4
_chemical_formula_sum 'Tb1 Sm1 Er2 Sc4'
_cell_length_a 4.901
_cell_length_b 4.901
_cell_length_c 9.286
_cell_angle_alpha 90.00
_cell_angle_beta 90.00
_cell_angle_gamma 90.00
_symmetry_space_group_name_H-M 'P 4/m m m'
_symmetry_Int_Tables_number 123
_symmetry_space_group_name_Hall '-P 4 2'
loop_
_atom_site_label
_atom_site_fract_x
_atom_site_fract_y
_atom_site_fract_z
_atom_site_occupancy
Tb1 0.000 0.000 0.000 1
Sm1 0.500 0.500 0.500 1
Er1 0.000 0.000 0.500 1
Er2 0.500 0.500 0.000 1
Sc1 0.000 0.500 0.249 1

Entry 18:
# UPdSe2, relaxed, DFT PBE
# raw formation energy = -0.801 eV/atom
data_UPdSe2
_chemical_formula_sum 'U4 Pd4 Se8'
_cell_length_a 5.526
_cell_length_b 12.612
_cell_length_c 5.629
_cell_angle_alpha 90.00
_cell_angle_beta 90.00
_cell_angle_gamma 90.00
_symmetry_space_group_name_H-M 'P n a 21'
_symmetry_Int_Tables_number 33
loop_
_symmetry_equiv_pos_as_xyz
'x,y,z'
'-x,-y,z+1/2'
'-x+1/2,y+1/2,z+1/2'
'x+1/2,-y+1/2,z'
loop_
_atom_site_label
_atom_site_fract_x
_atom_site_fract_y
_atom_site_fract_z
_atom_site_occupancy
U1 0.023 0.114 0.000 1
Pd1 0.058 0.533 0.144 1
Se1 0.024 0.343 0.001 1
Se2 0.028 0.109 0.504 1

Entry 19:
# RbLiAs, relaxed, DFT PBE
# energy of formation from the pure elements = -0.296 eV/atom
data_RbLiAs
_chemical_formula_sum 'Rb8 Li8 As8'
_cell_length_a 11.324
_cell_length_b 7.369
_cell_length_c 8.938
_cell_angle_alpha 90.00
_cell_angle_beta 90.00
_cell_angle_gamma 90.00
_symmetry_space_group_name_H-M 'C m c e'
_symmetry_Int_Tables_number 64
_symmetry_space_group_name_Hall '-C 2ac 2'
loop_
_atom_site_label
_atom_site_fract_x
_atom_site_fract_y
_atom_site_fract_z
_atom_site_occupancy
Rb1 0.193 0.000 0.000 1
Li1 0.000 0.143 0.424 1
As1 0.000 0.163 0.706 1

Entry 20:
# Mg2Ta2Ni, relaxed, DFT PBE
# energy of formation from the pure elements = 0.766 eV/atom
data_Mg2Ta2Ni
_chemical_formula_sum 'Mg4 Ta4 Ni2'
_cell_length_a 3.624
_cell_length_b 3.624
_cell_length_c 15.704
_cell_angle_alpha 90.00
_cell_angle_beta 90.00
_cell_angle_gamma 90.00
_symmetry_space_group_name_H-M 'I 4/m m m'
_symmetry_Int_Tables_number 139
_symmetry_space_group_name_Hall '-I 4 2'
loop_
_atom_site_label
_atom_site_fract_x
_atom_site_fract_y
_atom_site_fract_z
_atom_site_occupancy
Mg1 0.000 0.000 0.088 1
Ta1 0.000 0.500 0.250 1
Ni1 0.000 0.000 0.500 1

Entry 21:
# CeMgCuPt, relaxed, DFT PBE
# energy of formation from the pure elements = -0.547 eV/atom
data_CeMgCuPt
_chemical_formula_sum 'Ce4 Mg4 Cu4 Pt4'
_cell_length_a 6.795
_cell_length_b 6.795
_cell_length_c 6.795
_cell_angle_alpha 90.00
_cell_angle_beta 90.00
_cell_angle_gamma 90.00
_symmetry_space_group_name_H-M 'F -4 3 m'
_symmetry_Int_Tables_number 216
_symmetry_space_group_name_Hall 'F -4 2 3'
loop_
_atom_site_label
_atom_site_fract_x
_atom_site_fract_y
_atom_site_fract_z
_atom_site_occupancy
Ce1 0.000 0.000 0.000 1
Mg1 0.000 0.000 0.500 1
Cu1 0.250 0.250 0.250 1
Pt1 0.250 0.250 0.750 1

Entry 22:
# NbCu2Pd3, relaxed, DFT PBE
# energy of formation from the pure elements = -0.170 eV/atom
data_NbCu2Pd3
_chemical_formula_sum 'Nb2 Cu4 Pd6'
_cell_length_a 4.576
_cell_length_b 8.243
_cell_length_c 4.697
_cell_angle_alpha 90.00
_cell_angle_beta 90.00
_cell_angle_gamma 90.00
_symmetry_space_group_name_H-M 'P m m n'
_symmetry_Int_Tables_number 59
loop_
_symmetry_equiv_pos_as_xyz
'x,y,z'
'-x,-y,-z'
'-x+1/2,-y+1/2,z'
'x+1/2,y+1/2,-z'
'x+1/2,-y,-z'
'-x+1/2,y,z'
'-x,y+1/2,-z'
'x,-y+1/2,z'
loop_
_atom_site_label
_atom_site_fract_x
_atom_site_fract_y
_atom_site_fract_z
_atom_site_occupancy
Nb1 0.250 0.250 0.098 1
Cu1 0.250 0.587 0.099 1
Pd1 0.250 0.080 0.611 1
Pd2 0.250 0.750 0.606 1

Entry 23:
# TlSiH5, relaxed, DFT PBE
# E = -3.270 eV/atom
data_TlSiH5
_chemical_formula_sum 'Tl2 Si2 H10'
_cell_length_a 3.973
_cell_length_b 4.836
_cell_length_c 9.061
_cell_angle_alpha 97.04
_cell_angle_beta 102.65
_cell_angle_gamma 90.15
_symmetry_space_group_name_H-M 'P -1'
_symmetry_Int_Tables_number 2
loop_
_symmetry_equiv_pos_as_xyz
'x,y,z'
'-x,-y,-z'
loop_
_atom_site_label
_atom_site_fract_x
_atom_site_fract_y
_atom_site_fract_z
_atom_site_occupancy
Tl1 0.204 0.211 0.414 1
Si1 0.000 0.500 0.000 1
Si2 0.500 0.000 0.000 1
H1 0.211 0.231 0.933 1
H2 0.221 0.731 0.932 1
H3 0.251 0.535 0.153 1
H4 0.299 0.540 0.605 1
H5 0.401 0.031 0.153 1